No. 1
LuNpZnOs: optimized geometry, PBE.

The formation enthalpy at 0 K comes out at -0.030 eV per formula unit. Its total magnetization is 0.9130 μB per atom.

The space group is F-43m (No. 216) and the conventional cell measures 6.8486, 6.8486 and 6.8486 Å, with angles of 90.00, 90.00 and 90.00 degrees. The inequivalent atoms are Lu at (0.0000, 0.0000, 0.0000), Np at (0.0000, 0.0000, 0.5000), Zn at (0.2500, 0.2500, 0.2500) and Os at (0.2500, 0.2500, 0.7500).


No. 2
Na2BeHg2: optimized geometry, PBE.

The formation enthalpy at 0 K comes out at 2.228 eV per formula unit. Its total magnetization is 0.0000 μB per atom.

The space group is I4/mmm (No. 139) and the conventional cell measures 4.0775, 4.0775 and 14.7243 Å, with angles of 90.00, 90.00 and 90.00 degrees. The inequivalent atoms are Na at (0.0000, 0.5000, 0.2500), Be at (0.0000, 0.0000, 0.0000) and Hg at (0.0000, 0.0000, 0.4051).


No. 3
Mn2SiRh8: optimized geometry, PBE.

Its total magnetization is 0.4170 μB per atom. For the formation energy from raw total energies, the calculation gives -113 kJ/mol of formula units.

The space group is Immm (No. 71) and the conventional cell measures 4.0660, 6.9935 and 10.9022 Å, with angles of 90.00, 90.00 and 90.00 degrees. The inequivalent atoms are Mn at (0.0000, 0.0000, 0.1992), Si at (0.0000, 0.0000, 0.5000), Rh at (0.0000, 0.1804, 0.0000), Rh at (0.0000, 0.2829, 0.3453) and Rh at (0.0000, 0.5000, 0.1333).


No. 4
Al2RhPb: optimized geometry, PBE.

The formation enthalpy at 0 K comes out at -0.842 eV per formula unit. Its total magnetization is 0.0000 μB per atom.

The space group is P4mm (No. 99) and the conventional cell measures 3.3186, 3.3186 and 6.9699 Å, with angles of 90.00, 90.00 and 90.00 degrees. The inequivalent atoms are Al at (0.0000, 0.0000, 0.0000), Al at (0.5000, 0.5000, 0.2280), Rh at (0.5000, 0.5000, 0.8627) and Pb at (0.0000, 0.0000, 0.5462).


No. 5
Mn2Pt9W: optimized geometry, PBE.

The formation enthalpy at 0 K comes out at -3.994 eV per formula unit. Its total magnetization is 0.7940 μB per atom.

The space group is P4/mmm (No. 123) and the conventional cell measures 3.9499, 3.9499 and 11.8503 Å, with angles of 90.00, 90.00 and 90.00 degrees. The inequivalent atoms are Mn at (0.0000, 0.0000, 0.1612), Pt at (0.0000, 0.5000, 0.0000), Pt at (0.0000, 0.5000, 0.3366), Pt at (0.5000, 0.5000, 0.1678), Pt at (0.5000, 0.5000, 0.5000) and W at (0.0000, 0.0000, 0.5000).


No. 6
Tl2As: optimized geometry, PBE.

The formation enthalpy at 0 K comes out at 0.171 eV per formula unit. Its total magnetization is 0.0000 μB per atom.

The space group is C2/m (No. 12) and the conventional cell measures 15.8877, 3.3986 and 6.8330 Å, with angles of 90.00, 104.49 and 90.00 degrees. The inequivalent atoms are Tl at (0.1284, 0.0000, 0.0737), Tl at (0.1576, 0.0000, 0.5897) and As at (0.0016, 0.5000, 0.6876).


No. 7
Tc3AuN: optimized geometry, PBE.

Its total magnetization is 0.0000 μB per atom. For the formation energy from raw total energies, the calculation gives 57 kJ/mol of formula units.

The space group is Pm-3m (No. 221) and the conventional cell measures 4.0783, 4.0783 and 4.0783 Å, with angles of 90.00, 90.00 and 90.00 degrees. The inequivalent atoms are Tc at (0.0000, 0.0000, 0.5000), Au at (0.5000, 0.5000, 0.5000) and N at (0.0000, 0.0000, 0.0000).


No. 8
SrIr2Pd: optimized geometry, PBE.

The formation enthalpy at 0 K comes out at 0.857 eV per formula unit. Its total magnetization is 0.0001 μB per atom.

The space group is I-42d (No. 122) and the conventional cell measures 4.5341, 4.5341 and 18.6964 Å, with angles of 90.00, 90.00 and 90.00 degrees. The inequivalent atoms are Sr at (0.0000, 0.0000, 0.0000), Ir at (0.0897, 0.2500, 0.6250) and Pd at (0.0000, 0.0000, 0.5000).


No. 9
Ti2Be2Ir3: optimized geometry, PBE.

The formation enthalpy at 0 K comes out at -4.827 eV per formula unit. Its total magnetization is 0.0000 μB per atom.

The space group is Cmmm (No. 65) and the conventional cell measures 3.5425, 18.0918 and 2.8280 Å, with angles of 90.00, 90.00 and 90.00 degrees. The inequivalent atoms are Ti at (0.0000, 0.0815, 0.0000), Be at (0.0000, 0.2188, 0.0000), Ir at (0.0000, 0.3285, 0.5000) and Ir at (0.0000, 0.5000, 0.5000).


No. 10
Li3ReSe: optimized geometry, PBE.

Its total magnetization is 0.8012 μB per atom. For the formation energy from raw total energies, the calculation gives 263 kJ/mol of formula units.

The space group is Pm-3m (No. 221) and the conventional cell measures 4.7309, 4.7309 and 4.7309 Å, with angles of 90.00, 90.00 and 90.00 degrees. The inequivalent atoms are Li at (0.0000, 0.0000, 0.5000), Re at (0.5000, 0.5000, 0.5000) and Se at (0.0000, 0.0000, 0.0000).


No. 11
PmSmEuLu: optimized geometry, PBE.

The formation enthalpy at 0 K comes out at 0.633 eV per formula unit. Its total magnetization is 1.9163 μB per atom.

The space group is F-43m (No. 216) and the conventional cell measures 8.1808, 8.1808 and 8.1808 Å, with angles of 90.00, 90.00 and 90.00 degrees. The inequivalent atoms are Pm at (0.0000, 0.0000, 0.0000), Sm at (0.2500, 0.2500, 0.2500), Eu at (0.0000, 0.0000, 0.5000) and Lu at (0.2500, 0.2500, 0.7500).


No. 12
KTl3: optimized geometry, PBE.

The formation enthalpy at 0 K comes out at -0.172 eV per formula unit. Its total magnetization is 0.0000 μB per atom.

The space group is Pmm2 (No. 25) and the conventional cell measures 3.5271, 5.6648 and 6.6683 Å, with angles of 90.00, 90.00 and 90.00 degrees. The inequivalent atoms are K at (0.0000, 0.0000, 0.0000), Tl at (0.0000, 0.5000, 0.3225), Tl at (0.5000, 0.0000, 0.5062) and Tl at (0.5000, 0.5000, 0.7665).


No. 13
KLi2CaHg: optimized geometry, PBE.

The formation enthalpy at 0 K comes out at -0.181 eV per formula unit. Its total magnetization is 0.0000 μB per atom.

The space group is P4/mmm (No. 123) and the conventional cell measures 5.5086, 5.5086 and 5.8519 Å, with angles of 90.00, 90.00 and 90.00 degrees. The inequivalent atoms are K at (0.0000, 0.0000, 0.0000), Li at (0.0000, 0.5000, 0.5000), Ca at (0.5000, 0.5000, 0.0000) and Hg at (0.5000, 0.5000, 0.5000).


No. 14
Mg2AlIn: optimized geometry, PBE.

The formation enthalpy at 0 K comes out at -0.086 eV per formula unit. Its total magnetization is 0.0000 μB per atom.

The space group is I4/mmm (No. 139) and the conventional cell measures 4.4050, 4.4050 and 8.7577 Å, with angles of 90.00, 90.00 and 90.00 degrees. The inequivalent atoms are Mg at (0.0000, 0.5000, 0.2500), Al at (0.0000, 0.0000, 0.0000) and In at (0.0000, 0.0000, 0.5000).


No. 15
TiTlV2: optimized geometry, PBE.

The formation enthalpy at 0 K comes out at 1.582 eV per formula unit. Its total magnetization is 0.0003 μB per atom.

The space group is Fm-3m (No. 225) and the conventional cell measures 6.4113, 6.4113 and 6.4113 Å, with angles of 90.00, 90.00 and 90.00 degrees. The inequivalent atoms are Ti at (0.0000, 0.0000, 0.0000), Tl at (0.0000, 0.0000, 0.5000) and V at (0.2500, 0.2500, 0.2500).


No. 16
ReTc2Pt: optimized geometry, PBE.

The formation enthalpy at 0 K comes out at -0.137 eV per formula unit. Its total magnetization is 0.0000 μB per atom.

The space group is C2/m (No. 12) and the conventional cell measures 9.1927, 2.7548 and 4.7860 Å, with angles of 90.00, 100.45 and 90.00 degrees. The inequivalent atoms are Re at (0.0000, 0.0000, 0.0000), Tc at (0.2451, 0.5000, 0.2334) and Pt at (0.0000, 0.5000, 0.5000).


No. 17
Ac2YMg: optimized geometry, PBE.

The formation enthalpy at 0 K comes out at 0.032 eV per formula unit. Its total magnetization is 0.0000 μB per atom.

The space group is P4/mmm (No. 123) and the conventional cell measures 6.0195, 6.0195 and 4.0421 Å, with angles of 90.00, 90.00 and 90.00 degrees. The inequivalent atoms are Ac at (0.0000, 0.5000, 0.0000), Y at (0.0000, 0.0000, 0.5000) and Mg at (0.5000, 0.5000, 0.5000).


No. 18
CrIn: optimized geometry, PBE.

The formation enthalpy at 0 K comes out at 1.023 eV per formula unit. Its total magnetization is 1.5210 μB per atom.

The space group is Imma (No. 74) and the conventional cell measures 3.2410, 4.5882 and 9.9761 Å, with angles of 90.00, 90.00 and 90.00 degrees. The inequivalent atoms are Cr at (0.0000, 0.2500, 0.1323) and In at (0.0000, 0.2500, 0.6168).


No. 19
LaGa2Tc2Ge: optimized geometry, PBE.

The formation enthalpy at 0 K comes out at -1.008 eV per formula unit. Its total magnetization is 0.0000 μB per atom.

The space group is P4/mmm (No. 123) and the conventional cell measures 4.6238, 4.6238 and 5.7711 Å, with angles of 90.00, 90.00 and 90.00 degrees. The inequivalent atoms are La at (0.0000, 0.0000, 0.0000), Ga at (0.5000, 0.5000, 0.2465), Tc at (0.0000, 0.5000, 0.5000) and Ge at (0.0000, 0.0000, 0.5000).


No. 20
SiRhSeS2: optimized geometry, PBE.

Its total magnetization is 0.0000 μB per atom. For the formation energy from raw total energies, the calculation gives 312 kJ/mol of formula units.

The space group is P4/mmm (No. 123) and the conventional cell measures 4.4337, 4.4337 and 4.7282 Å, with angles of 90.00, 90.00 and 90.00 degrees. The inequivalent atoms are Si at (0.0000, 0.0000, 0.0000), Rh at (0.0000, 0.0000, 0.5000), Se at (0.5000, 0.5000, 0.5000) and S at (0.0000, 0.5000, 0.0000).